# 1
# PBE-GGA LaPm3Pu2S6, relaxed
# E = -8.027 eV per atom
# M_tot = 22.648 μB/cell
# DOS at the Fermi energy = 18.1 states/eV/f.u.
# ΔE_f (raw) = -1.976 eV/atom
data_LaPm3Pu2S6
_chemical_formula_sum 'La2 Pm6 Pu4 S12'
_cell_length_a 6.976
_cell_length_b 12.082
_cell_length_c 6.995
_cell_angle_alpha 90.00
_cell_angle_beta 109.41
_cell_angle_gamma 90.00
_space_group_name_H-M_alt 'C 1 2/m 1'
_space_group_IT_number 12
loop_
_space_group_symop_operation_xyz
'x,y,z'
'-x,-y,-z'
'-x,y,-z'
'x,-y,z'
'x+1/2,y+1/2,z'
'-x+1/2,-y+1/2,-z'
'-x+1/2,y+1/2,-z'
'x+1/2,-y+1/2,z'
loop_
_atom_site_label
_atom_site_fract_x
_atom_site_fract_y
_atom_site_fract_z
_atom_site_occupancy
La1 0.000 0.000 0.000 1
Pm1 0.000 0.164 0.500 1
Pm2 0.000 0.500 0.500 1
Pu1 0.000 0.333 0.000 1
S1 0.240 0.500 0.247 1
S2 0.246 0.329 0.751 1


# 2
# PBE-GGA YScAgRu, relaxed
# E = -6.585 eV per atom
# M_tot = 0.000 μB/cell
# formation enthalpy at 0 K = -0.35 eV/atom
# DOS at the Fermi energy = 2.1 states/eV/f.u.
# E above lowest polymorph = 86 meV per atom
data_YScAgRu
_chemical_formula_sum 'Y4 Sc4 Ag4 Ru4'
_cell_length_a 6.839
_cell_length_b 6.839
_cell_length_c 6.839
_cell_angle_alpha 90.00
_cell_angle_beta 90.00
_cell_angle_gamma 90.00
_space_group_name_H-M_alt 'F -4 3 m'
_space_group_IT_number 216
_space_group_name_Hall 'F -4 2 3'
loop_
_atom_site_label
_atom_site_fract_x
_atom_site_fract_y
_atom_site_fract_z
_atom_site_occupancy
Y1 0.000 0.000 0.000 1
Sc1 0.000 0.000 0.500 1
Ag1 0.250 0.250 0.750 1
Ru1 0.250 0.250 0.250 1


# 3
# PBE-GGA Bi2SBr2, relaxed
# E = -3.410 eV per atom
# M_tot = 0.000 μB/cell
# DOS at the Fermi energy = 0.1 states/eV/f.u.
# ΔE_f (raw) = -0.363 eV/atom
data_Bi2SBr2
_chemical_formula_sum 'Bi8 S4 Br8'
_cell_length_a 17.391
_cell_length_b 5.520
_cell_length_c 8.478
_cell_angle_alpha 90.00
_cell_angle_beta 106.09
_cell_angle_gamma 90.00
_space_group_name_H-M_alt 'C 1 2/m 1'
_space_group_IT_number 12
loop_
_space_group_symop_operation_xyz
'x,y,z'
'-x,-y,-z'
'-x,y,-z'
'x,-y,z'
'x+1/2,y+1/2,z'
'-x+1/2,-y+1/2,-z'
'-x+1/2,y+1/2,-z'
'x+1/2,-y+1/2,z'
loop_
_atom_site_label
_atom_site_fract_x
_atom_site_fract_y
_atom_site_fract_z
_atom_site_occupancy
Bi1 0.005 0.000 0.252 1
Bi2 0.244 0.500 0.882 1
S1 0.101 0.000 0.060 1
Br1 0.045 0.500 0.759 1
Br2 0.133 0.000 0.557 1